Density functional theory data (GGA-PBE) for a relaxed Mg2ZnCu4 crystal.

a b c (Å): 7.635 7.635 5.477
angles (deg): 90.00 90.00 90.00
Space group I4/mmm (No. 139)
Symmetry-distinct sites (fractional):
Mg  0.000  0.500  0.250
Zn  0.000  0.000  0.000
Cu  0.000  0.214  0.500

Density functional theory data (GGA-PBE) for a relaxed Mg2Zn4Cu crystal.

a b c (Å): 6.417 6.417 5.969
angles (deg): 90.00 90.00 90.00
Space group I4/mmm (No. 139)
Symmetry-distinct sites (fractional):
Mg  0.000  0.500  0.250
Zn  0.202  0.202  0.000
Cu  0.000  0.000  0.500

Density functional theory data (GGA-PBE) for a relaxed Mg3Zn2Cu crystal.

a b c (Å): 5.8506 5.8506 11.5479
angles (deg): 90.00 90.00 120.00
Space group R-3m (No. 166, hexagonal axes)
Symmetry-distinct sites (fractional):
Mg  0.0000  0.5000  0.0000
Zn  0.0000  0.0000  0.1157
Cu  0.0000  0.0000  0.5000

Density functional theory data (GGA-PBE) for a relaxed MgZn2Cu crystal.

a b c (Å): 2.771 4.338 5.231
angles (deg): 90.00 102.67 90.00
Space group P2/m (No. 10)
Symmetry-distinct sites (fractional):
Mg  0.000  0.000  0.000
Zn  0.349  0.500  0.732
Cu  0.500  0.000  0.500

Density functional theory data (GGA-PBE) for a relaxed Mg2ZnCu4 crystal.

a b c (Å): 4.447 4.447 13.237
angles (deg): 90.00 90.00 90.00
Space group I4/mmm (No. 139)
Symmetry-distinct sites (fractional):
Mg  0.000  0.000  0.126
Zn  0.000  0.000  0.500
Cu  0.000  0.000  0.321
Cu  0.000  0.500  0.000

Density functional theory data (GGA-PBE) for a relaxed MgZn2Cu3 crystal.

a b c (Å): 5.1908 5.1908 4.1118
angles (deg): 90.00 90.00 120.00
Space group P6/mmm (No. 191)
Symmetry-distinct sites (fractional):
Mg  0.0000  0.0000  0.0000
Zn  0.3333  0.6667  0.5000
Cu  0.0000  0.5000  0.0000

Density functional theory data (GGA-PBE) for a relaxed Mg2ZnCu2 crystal.

a b c (Å): 6.484 6.484 3.902
angles (deg): 90.00 90.00 90.00
Space group P4/mbm (No. 127)
Symmetry-distinct sites (fractional):
Mg  0.167  0.333  0.000
Zn  0.000  0.000  0.500
Cu  0.135  0.635  0.500

Density functional theory data (GGA-PBE) for a relaxed Mg2Zn2Cu crystal.

a b c (Å): 8.024 6.485 7.282
angles (deg): 90.00 90.00 90.00
Space group Cmcm (No. 63)
Symmetry-distinct sites (fractional):
Mg  0.191  0.000  0.000
Zn  0.000  0.334  0.087
Cu  0.000  0.300  0.750

Density functional theory data (GGA-PBE) for a relaxed Mg2ZnCu2 crystal.

a b c (Å): 4.181 4.396 9.330
angles (deg): 90.00 90.00 90.00
Space group Pmmn (No. 59, origin choice 2)
Symmetry-distinct sites (fractional):
Mg  0.250  0.250  0.008
Mg  0.250  0.250  0.674
Zn  0.250  0.250  0.336
Cu  0.250  0.750  0.512
Cu  0.250  0.750  0.820

Density functional theory data (GGA-PBE) for a relaxed MgZn2Cu2 crystal.

a b c (Å): 4.287 12.839 2.798
angles (deg): 90.00 90.00 90.00
Space group Cmmm (No. 65)
Symmetry-distinct sites (fractional):
Mg  0.000  0.000  0.000
Zn  0.000  0.199  0.500
Cu  0.000  0.403  0.500

Density functional theory data (GGA-PBE) for a relaxed Mg3Zn2Cu crystal.

a b c (Å): 4.6183 4.6183 11.1561
angles (deg): 90.00 90.00 120.00
Space group P6_3/mmc (No. 194)
Symmetry-distinct sites (fractional):
Mg  0.0000  0.0000  0.0000
Mg  0.3333  0.6667  0.1197
Zn  0.3333  0.6667  0.6383
Cu  0.0000  0.0000  0.2500

Density functional theory data (GGA-PBE) for a relaxed Mg2Zn4Cu crystal.

a b c (Å): 4.587 4.587 13.651
angles (deg): 90.00 90.00 90.00
Space group I4/mmm (No. 139)
Symmetry-distinct sites (fractional):
Mg  0.000  0.000  0.128
Zn  0.000  0.000  0.322
Zn  0.000  0.500  0.000
Cu  0.000  0.000  0.500

Asked for energy of formation from the pure elements across the records above, the calculation gives 0.683, 0.119, 0.090, -0.041, 0.418, -0.022, -0.082, 0.077, -0.020, 0.013, -0.003, 0.213 eV per atom in order.
Asked for ρ across the records above, the calculation gives 3.8, 5.1, 3.9, 5.9, 4.7, 6.0, 4.9, 4.3, 4.7, 6.1, 4.3, 4.3 g/cm³ in order.
Asked for DFT total energy across the records above, the calculation gives -2.29, -1.65, -1.81, -2.10, -2.56, -2.76, -2.61, -1.89, -2.55, -2.45, -1.91, -1.56 eV/atom in order.